Below is crystalline Be2CrP at its relaxed geometry, with properties calculated at the PBE level.

a b c (Å): 3.830 2.457 4.215
angles (deg): 89.85 90.00 90.00
Fractional positions:
Cr  0.500  0.250  0.250
Be  0.000  0.749  0.009
Be  0.000  0.751  0.491
P  0.500  0.750  0.750

- SG: No. 10
- Calculated total energy: -5.634 eV/atom